# 1
A plane-wave DFT calculation with PBE-GGA was carried out for crystalline Ni2PtRh at its relaxed geometry.

Cell lengths 4.624, 4.624, 4.624 Å; angles 132.64, 132.64, 69.21 degrees
Atoms (fractional coordinates):
Ni1 0.000 0.000 0.000
Ni2 0.750 0.250 0.500
Pt1 0.250 0.750 0.500
Rh1 0.500 0.500 0.000

Computed properties:
M_tot: 2.35 μB/f.u.
VASP energy: -6.2703 eV per atom

=====

# 2
A plane-wave DFT calculation with PBE-GGA was carried out for crystalline Na2UTe3 at its relaxed geometry.

Cell lengths 7.823, 7.823, 7.717 Å; angles 100.34, 100.34, 118.63 degrees
Atoms (fractional coordinates):
Na1 0.083 0.917 0.750
Na2 0.245 0.755 0.250
Na3 0.755 0.245 0.750
Na4 0.917 0.083 0.250
U1 0.411 0.589 0.750
U2 0.589 0.411 0.250
Te1 0.000 0.500 0.500
Te2 0.200 0.350 0.997
Te3 0.350 0.200 0.497
Te4 0.500 0.000 0.000
Te5 0.650 0.800 0.503
Te6 0.800 0.650 0.003

Computed properties:
M_tot: 2.00 μB/f.u.
VASP energy: -4.7174 eV per atom
formation energy (no corrections): -79.7 kJ per mole of atoms

=====

# 3
A plane-wave DFT calculation with PBE-GGA was carried out for crystalline YHo3Tc at its relaxed geometry.

Cell lengths 4.927, 8.148, 6.893 Å; angles 90.00, 90.00, 90.00 degrees
Atoms (fractional coordinates):
Y1 0.250 0.250 0.078
Y2 0.750 0.750 0.922
Ho1 0.250 0.549 0.679
Ho2 0.250 0.750 0.255
Ho3 0.250 0.951 0.679
Ho4 0.750 0.049 0.321
Ho5 0.750 0.250 0.745
Ho6 0.750 0.451 0.321
Tc1 0.250 0.250 0.485
Tc2 0.750 0.750 0.515

Computed properties:
offset from the most stable computed form: 0.022 eV per atom
M_tot: 0.00 μB/f.u.
VASP energy: -6.1172 eV per atom

=====

# 4
A plane-wave DFT calculation with PBE-GGA was carried out for crystalline Tl8InPb2 at its relaxed geometry.

Cell lengths 9.276, 9.276, 7.415 Å; angles 101.00, 101.00, 32.43 degrees
Atoms (fractional coordinates):
Tl1 0.045 0.045 0.228
Tl2 0.137 0.137 0.681
Tl3 0.321 0.321 0.588
Tl4 0.409 0.409 0.051
Tl5 0.591 0.591 0.949
Tl6 0.679 0.679 0.412
Tl7 0.863 0.863 0.319
Tl8 0.955 0.955 0.772
In1 0.500 0.500 0.500
Pb1 0.226 0.226 0.134
Pb2 0.774 0.774 0.866

Computed properties:
offset from the most stable computed form: 0.000 eV per atom
M_tot: 0.00 μB/f.u.
VASP energy: -2.6363 eV per atom

=====

# 5
A plane-wave DFT calculation with PBE-GGA was carried out for crystalline TePb2 at its relaxed geometry.

Cell lengths 6.431, 6.431, 9.047 Å; angles 118.06, 118.06, 37.39 degrees
Atoms (fractional coordinates):
Te1 0.177 0.177 0.143
Te2 0.823 0.823 0.857
Pb1 0.153 0.153 0.543
Pb2 0.443 0.443 0.179
Pb3 0.557 0.557 0.821
Pb4 0.847 0.847 0.457

Computed properties:
offset from the most stable computed form: 0.030 eV per atom
M_tot: 0.00 μB/f.u.
VASP energy: -3.6273 eV per atom
formation energy (no corrections): -10.4 kJ per mole of atoms

=====

# 6
A plane-wave DFT calculation with PBE-GGA was carried out for crystalline NdTmTh2 at its relaxed geometry.

Cell lengths 3.559, 3.559, 10.240 Å; angles 90.00, 90.00, 90.00 degrees
Atoms (fractional coordinates):
Nd1 0.000 0.000 0.000
Tm1 0.000 0.000 0.500
Th1 0.500 0.500 0.256
Th2 0.500 0.500 0.744

Computed properties:
offset from the most stable computed form: 0.040 eV per atom
M_tot: 0.00 μB/f.u.
VASP energy: -5.9498 eV per atom

=====

# 7
A plane-wave DFT calculation with PBE-GGA was carried out for crystalline ScCoCuHg at its relaxed geometry.

Cell lengths 4.483, 4.483, 4.483 Å; angles 60.00, 60.00, 60.00 degrees
Atoms (fractional coordinates):
Sc1 0.000 0.000 0.000
Co1 0.750 0.750 0.750
Cu1 0.250 0.250 0.250
Hg1 0.500 0.500 0.500

Computed properties:
M_tot: 0.81 μB/f.u.
VASP energy: -4.5241 eV per atom

=====

# 8
A plane-wave DFT calculation with PBE-GGA was carried out for crystalline K4AuBrO at its relaxed geometry.

Cell lengths 9.224, 9.224, 7.435 Å; angles 90.00, 90.00, 132.43 degrees
Atoms (fractional coordinates):
K1 0.000 0.500 0.000
K2 0.000 0.500 0.500
K3 0.095 0.905 0.750
K4 0.403 0.597 0.750
K5 0.500 0.000 0.000
K6 0.500 0.000 0.500
K7 0.597 0.403 0.250
K8 0.905 0.095 0.250
Au1 0.396 0.604 0.250
Au2 0.604 0.396 0.750
Br1 0.106 0.894 0.250
Br2 0.894 0.106 0.750
O1 0.249 0.751 0.750
O2 0.751 0.249 0.250

Computed properties:
M_tot: 0.00 μB/f.u.
VASP energy: -3.0818 eV per atom
formation energy (no corrections): -100.3 kJ per mole of atoms

=====

# 9
A plane-wave DFT calculation with PBE-GGA was carried out for crystalline MnHgI3 at its relaxed geometry.

Cell lengths 9.819, 9.819, 9.819 Å; angles 60.00, 60.00, 60.00 degrees
Atoms (fractional coordinates):
Mn1 0.000 0.000 0.000
Mn2 0.000 0.000 0.500
Mn3 0.000 0.500 0.000
Mn4 0.500 0.000 0.000
Hg1 0.000 0.500 0.500
Hg2 0.500 0.000 0.500
Hg3 0.500 0.500 0.000
Hg4 0.500 0.500 0.500
I1 0.072 0.072 0.678
I2 0.072 0.678 0.072
I3 0.072 0.678 0.678
I4 0.322 0.322 0.928
I5 0.322 0.928 0.322
I6 0.322 0.928 0.928
I7 0.678 0.072 0.072
I8 0.678 0.072 0.678
I9 0.678 0.678 0.072
I10 0.928 0.322 0.322
I11 0.928 0.322 0.928
I12 0.928 0.928 0.322

Computed properties:
offset from the most stable computed form: 0.444 eV per atom
M_tot: 0.00 μB/f.u.
VASP energy: -2.7266 eV per atom
formation energy (no corrections): 9.4 kJ per mole of atoms

=====

# 10
A plane-wave DFT calculation with PBE-GGA was carried out for crystalline CsHBr2 at its relaxed geometry.

Cell lengths 6.669, 6.669, 10.469 Å; angles 115.72, 115.72, 53.56 degrees
Atoms (fractional coordinates):
Cs1 0.000 0.500 0.000
Cs2 0.500 0.000 0.500
H1 0.000 0.000 0.000
H2 0.000 0.000 0.500
Br1 0.109 0.684 0.404
Br2 0.316 0.891 0.096
Br3 0.684 0.109 0.904
Br4 0.891 0.316 0.596

Computed properties:
offset from the most stable computed form: 0.000 eV per atom
M_tot: 0.00 μB/f.u.
VASP energy: -2.9321 eV per atom

=====

# 11
A plane-wave DFT calculation with PBE-GGA was carried out for crystalline PrCoAsH2 at its relaxed geometry.

Cell lengths 5.616, 5.616, 6.157 Å; angles 90.00, 90.00, 139.19 degrees
Atoms (fractional coordinates):
Pr1 0.214 0.786 0.750
Pr2 0.786 0.214 0.250
Co1 0.500 0.500 0.000
Co2 0.500 0.500 0.500
As1 0.062 0.938 0.250
As2 0.938 0.062 0.750
H1 0.350 0.650 0.056
H2 0.350 0.650 0.444
H3 0.650 0.350 0.556
H4 0.650 0.350 0.944

Computed properties:
M_tot: 0.73 μB/f.u.
VASP energy: -5.2043 eV per atom

=====

# 12
A plane-wave DFT calculation with PBE-GGA was carried out for crystalline CsNa4Li at its relaxed geometry.

Cell lengths 11.449, 11.449, 6.480 Å; angles 106.30, 106.30, 43.71 degrees
Atoms (fractional coordinates):
Cs1 0.217 0.217 0.216
Cs2 0.783 0.783 0.784
Na1 0.132 0.686 0.409
Na2 0.191 0.809 0.000
Na3 0.314 0.868 0.591
Na4 0.365 0.365 0.865
Na5 0.635 0.635 0.135
Na6 0.686 0.132 0.409
Na7 0.809 0.191 0.000
Na8 0.868 0.314 0.591
Li1 0.500 0.500 0.268
Li2 0.500 0.500 0.732

Computed properties:
offset from the most stable computed form: 0.000 eV per atom
M_tot: 0.00 μB/f.u.
VASP energy: -1.2855 eV per atom